Entry 1:
Computed, not measured: crystalline TbNd4S5 at its relaxed geometry at the PBE level of DFT.

Calculated values
**Formation energy (no corrections)**: -194.4 kJ per mole of atoms
**SG**: No. 71
**Magnetization**: 0.00 μB/f.u.
**DOS(E_F)**: 4.802 states/eV per cell
**DFT total energy**: -0.237 hartree per atom

abc: 4.0356 5.7155 10.7113
angles: 105.47 100.86 90.00
Positions (direct):
1 Tb 0.0000 0.0000 0.0000
2 Nd 0.3996 0.3996 0.7993
3 Nd 0.8016 0.8016 0.6032
4 Nd 0.1984 0.1984 0.3968
5 Nd 0.6004 0.6004 0.2007
6 S 0.5955 0.0955 0.1910
7 S 0.7992 0.2992 0.5984
8 S 0.2008 0.7008 0.4016
9 S 0.0000 0.5000 0.0000
10 S 0.4045 0.9045 0.8090

=====

Entry 2:
Computed, not measured: crystalline Y2MnAl at its relaxed geometry at the PBE level of DFT.

Calculated values
**SG**: No. 47
**Magnetization**: 2.88 μB/f.u.
**DFT formation energy**: -112 meV/atom
**DOS(E_F)**: 3.675 states/eV per cell
**DFT total energy**: -0.242 hartree per atom

abc: 3.5782 3.5899 8.0645
angles: 63.56 90.00 90.00
Positions (direct):
1 Y 0.0000 0.0081 0.9921
2 Y 0.0000 0.4919 0.5079
3 Mn 0.5000 0.7500 0.7500
4 Al 0.5000 0.2500 0.2500

=====

no.,ρ (Mg/m³)
1,6.37
2,4.65